DFT (PBE) results for a geometry-optimized NpScTl2 structure.

Output
* energy relative to the elements: 0.14 eV per atom
* calculated volume: 102.51 Å³ per cell
* polymorph energy (0 for the lowest one): 0.39 eV per formula unit
* space-group type: No. 123
* energy: -0.2152 hartree per atom

a b c (Å): 4.346 4.856 4.856
angles (deg): 90.00 90.00 90.00
Last column: magnetic moment on the atom in μB.
Atoms (fractional coordinates):
Np 0.500 0.000 0.000  4.15
Sc 0.500 0.500 0.500  0.34
Tl 0.000 0.000 0.500  0.01
Tl 0.000 0.500 0.000  0.01